# 1
Density functional theory data (PBE) for an optimized crystal structure of Er3Pt.

a b c (Å): 6.445 6.984 9.459
angles (deg): 90.00 90.00 90.00
Fractional positions:
Er1 0.372 0.975 0.750
Er2 0.320 0.681 0.060
Er3 0.820 0.819 0.940
Er4 0.180 0.181 0.440
Er5 0.680 0.319 0.560
Er6 0.680 0.319 0.940
Er7 0.872 0.525 0.250
Er8 0.820 0.819 0.560
Er9 0.180 0.181 0.060
Er10 0.128 0.475 0.750
Er11 0.320 0.681 0.440
Er12 0.628 0.025 0.250
Pt1 0.047 0.890 0.250
Pt2 0.453 0.390 0.250
Pt3 0.547 0.610 0.750
Pt4 0.953 0.110 0.750

Summary:
**Total magnetization**: 0.0 Bohr magnetons per cell
**Calculated total energy**: -5.67 eV per atom
**DFT formation energy**: -739 meV/atom
**ρ**: 10.9 Mg/m³
**SG**: Pnma (62)

***

# 2
Density functional theory data (PBE) for an optimized crystal structure of Er3Pt2.

a b c (Å): 4.822 7.694 10.294
angles (deg): 90.74 90.00 108.26
Fractional positions:
Pt1 0.662 0.325 0.504
Pt2 0.996 0.991 0.171
Pt3 0.671 0.342 0.162
Pt4 0.338 0.675 0.496
Pt5 0.004 0.009 0.829
Pt6 0.329 0.658 0.838
Er1 0.500 0.000 0.000
Er2 0.167 0.335 0.999
Er3 0.833 0.665 0.001
Er4 0.833 0.667 0.667
Er5 0.167 0.333 0.333
Er6 0.499 0.998 0.334
Er7 0.834 0.668 0.333
Er8 0.501 0.002 0.666
Er9 0.166 0.332 0.667

Summary:
**Total magnetization**: 0.0 Bohr magnetons per cell
**Calculated total energy**: -6.25 eV per atom
**DFT formation energy**: -1093 meV/atom
**ρ**: 12.3 Mg/m³
**SG**: P-3m1 (164)

***

# 3
Density functional theory data (PBE) for an optimized crystal structure of Er5Pt4.

a b c (Å): 7.451 7.554 14.460
angles (deg): 90.00 90.00 90.00
Fractional positions:
Pt1 0.815 0.467 0.542
Pt2 0.547 0.613 0.250
Pt3 0.815 0.467 0.958
Pt4 0.453 0.387 0.750
Pt5 0.182 0.643 0.750
Pt6 0.685 0.967 0.458
Pt7 0.953 0.113 0.750
Pt8 0.315 0.033 0.958
Pt9 0.185 0.533 0.458
Pt10 0.185 0.533 0.042
Pt11 0.315 0.033 0.542
Pt12 0.682 0.857 0.750
Pt13 0.047 0.887 0.250
Pt14 0.685 0.967 0.042
Pt15 0.318 0.143 0.250
Pt16 0.818 0.357 0.250
Er1 0.000 0.821 0.594
Er2 0.317 0.989 0.750
Er3 0.500 0.679 0.594
Er4 0.500 0.321 0.094
Er5 0.655 0.167 0.877
Er6 0.000 0.179 0.094
Er7 0.155 0.333 0.623
Er8 0.000 0.821 0.906
Er9 0.345 0.833 0.123
Er10 0.817 0.511 0.750
Er11 0.683 0.011 0.250
Er12 0.500 0.679 0.906
Er13 0.845 0.667 0.123
Er14 0.845 0.667 0.377
Er15 0.183 0.489 0.250
Er16 0.155 0.333 0.877
Er17 0.345 0.833 0.377
Er18 0.000 0.179 0.406
Er19 0.655 0.167 0.623
Er20 0.500 0.321 0.406

Summary:
**Total magnetization**: 0.0 Bohr magnetons per cell
**Calculated total energy**: -6.43 eV per atom
**DFT formation energy**: -1212 meV/atom
**ρ**: 13.2 Mg/m³
**SG**: Pnma (62)

***

# 4
Density functional theory data (PBE) for an optimized crystal structure of Er3Pt2.

a b c (Å): 3.868 11.350 11.071
angles (deg): 90.00 90.00 90.00
Fractional positions:
Er1 0.250 0.308 0.718
Er2 0.250 0.561 0.879
Er3 0.750 0.439 0.121
Er4 0.750 0.692 0.282
Er5 0.250 0.192 0.218
Er6 0.250 0.939 0.379
Er7 0.750 0.061 0.621
Er8 0.750 0.130 0.949
Er9 0.250 0.630 0.551
Er10 0.750 0.808 0.782
Er11 0.750 0.370 0.449
Er12 0.250 0.870 0.051
Pt1 0.750 0.817 0.517
Pt2 0.750 0.006 0.186
Pt3 0.750 0.494 0.686
Pt4 0.250 0.317 0.983
Pt5 0.250 0.506 0.314
Pt6 0.250 0.183 0.483
Pt7 0.250 0.994 0.814
Pt8 0.750 0.683 0.017

Summary:
**Total magnetization**: 0.0 Bohr magnetons per cell
**Calculated total energy**: -6.25 eV per atom
**DFT formation energy**: -1100 meV/atom
**ρ**: 12.2 Mg/m³
**SG**: Pnma (62)

***

# 5
Density functional theory data (PBE) for an optimized crystal structure of ErPt4.

a b c (Å): 4.933 4.933 4.933
angles (deg): 90.00 90.00 90.00
Fractional positions:
Pt1 0.000 0.000 0.000
Pt2 0.500 0.000 0.500
Pt3 0.500 0.500 0.000
Pt4 0.000 0.500 0.500
Er1 0.500 0.500 0.500

Summary:
**Total magnetization**: 0.0 Bohr magnetons per cell
**Calculated total energy**: -4.59 eV per atom
**DFT formation energy**: 1155 meV/atom
**ρ**: 13.1 Mg/m³
**SG**: Pm-3m (221)

***

# 6
Density functional theory data (PBE) for an optimized crystal structure of Er3Pt5.

a b c (Å): 5.777 5.777 9.624
angles (deg): 90.00 90.00 104.31
Fractional positions:
Pt1 0.509 0.054 0.750
Pt2 0.686 0.686 0.454
Pt3 0.946 0.491 0.250
Pt4 0.686 0.686 0.046
Pt5 0.018 0.018 0.750
Pt6 0.314 0.314 0.954
Pt7 0.491 0.946 0.250
Pt8 0.054 0.509 0.750
Pt9 0.982 0.982 0.250
Pt10 0.314 0.314 0.546
Er1 0.387 0.387 0.250
Er2 0.796 0.204 0.000
Er3 0.796 0.204 0.500
Er4 0.204 0.796 0.000
Er5 0.204 0.796 0.500
Er6 0.613 0.613 0.750

Summary:
**Total magnetization**: 0.0 Bohr magnetons per cell
**Calculated total energy**: -6.70 eV per atom
**DFT formation energy**: -1218 meV/atom
**ρ**: 15.8 Mg/m³
**SG**: Cmcm (63)

***

# 7
Density functional theory data (PBE) for an optimized crystal structure of ErPuPt.

a b c (Å): 4.849 4.849 4.849
angles (deg): 60.00 60.00 60.00
Each line ends with the local moment (μB).
Fractional positions:
Pu1 0.500 0.500 0.500  -5.43
Pt1 0.250 0.250 0.250  0.03
Er1 0.000 0.000 0.000  -0.31

Summary:
**Total magnetization**: 6.1 Bohr magnetons per cell
**Calculated total energy**: -8.92 eV per atom
**DFT formation energy**: -609 meV/atom
**ρ**: 12.5 Mg/m³
**SG**: F-43m (216)

***

# 8
Density functional theory data (PBE) for an optimized crystal structure of ErPuPt.

a b c (Å): 3.786 3.786 6.916
angles (deg): 74.11 74.11 60.00
Each line ends with the local moment (μB).
Fractional positions:
Pu1 0.345 0.345 0.964  5.38
Pt1 0.109 0.109 0.673  -0.04
Er1 0.531 0.531 0.406  0.20

Summary:
**Total magnetization**: 6.0 Bohr magnetons per cell
**Calculated total energy**: -8.78 eV per atom
**DFT formation energy**: -468 meV/atom
**ρ**: 12.4 Mg/m³
**SG**: R3m (160)